Here is TaCrCl2 at its PBEsol-relaxed geometry from Alexandria via LeMat-Bulk. Energies are from meta-GGA SCAN.

Energy relative to the elements, uncorrected ... 0.444 eV/atom
Energy relative to the lowest polymorph listed for this composition ... 827 meV/atom

a = 3.011 Å, b = 4.468 Å, c = 4.468 Å
α = 90.00°, β = 90.00°, γ = 90.00°
Each line ends with the local moment (μB).
Sites, in units of the cell vectors:
Cr (0.500, 0.500, 0.500)  3.92
Cl (0.000, 0.000, 0.500)  0.03
Cl (0.000, 0.500, 0.000)  0.03
Ta (0.500, 0.000, 0.000)  -0.58